(1)
Material: LaTl2Pt2
Method: DFT, meta-GGA SCAN
State: PBEsol geometry

Cell lengths 4.2360, 4.2360, 7.0699 Å; angles 107.43, 107.43, 90.00 degrees
Fractional coordinates of all 5 atoms:
La: 0.0000 0.0000 0.0000
Tl: 0.2500 0.7500 0.5000
Tl: 0.7500 0.2500 0.5000
Pt: 0.5993 0.5993 0.1986
Pt: 0.4007 0.4007 0.8014

DOS at the Fermi energy = 2.74 states/eV/f.u.
Formation enthalpy at 0 K = -0.62 eV/atom
Magnetization = 0.000 μB/f.u.
Electronic total energy = -4.86983 Ry/atom

---

(2)
Material: LaTlPt
Method: DFT, meta-GGA SCAN
State: PBEsol geometry

Cell lengths 4.8312, 4.8312, 4.8312 Å; angles 60.00, 60.00, 60.00 degrees
Fractional coordinates of all 3 atoms:
La: 0.5000 0.5000 0.5000
Tl: 0.0000 0.0000 0.0000
Pt: 0.7500 0.7500 0.7500

DOS at the Fermi energy = 4.18 states/eV/f.u.
Formation enthalpy at 0 K = -0.87 eV/atom
Magnetization = 0.003 μB/f.u.
Electronic total energy = -4.61262 Ry/atom

---

(3)
Material: LaPtW2
Method: DFT, meta-GGA SCAN
State: PBEsol geometry

Cell lengths 2.8660, 2.8660, 9.3181 Å; angles 90.00, 90.00, 108.45 degrees
Fractional coordinates of all 4 atoms:
La: 0.0000 0.0000 0.4952
W: 0.0000 0.0000 0.0011
W: 0.5000 0.5000 0.7828
Pt: 0.5000 0.5000 0.2209

DOS at the Fermi energy = 3.34 states/eV/f.u.
Formation enthalpy at 0 K = 0.25 eV/atom
Relative energy among the computed polymorphs = 0.00 eV per formula unit
Magnetization = 0.000 μB/f.u.
Electronic total energy = -4.62473 Ry/atom

---

(4)
Material: La2PtW
Method: DFT, meta-GGA SCAN
State: PBEsol geometry

Cell lengths 3.6387, 3.6367, 7.0099 Å; angles 90.04, 90.00, 90.00 degrees
Last column: magnetic moment on the atom in μB.
Fractional coordinates of all 4 atoms:
La: 0.0000 0.0000 0.7436  0.06
La: 0.0000 0.0000 0.2564  0.06
Pt: 0.5000 0.5000 0.5000  0.01
W: 0.5000 0.5000 0.0000  1.03

DOS at the Fermi energy = 4.05 states/eV/f.u.
Formation enthalpy at 0 K = 0.01 eV/atom
Magnetization = 1.526 μB/f.u.
Electronic total energy = -4.15342 Ry/atom